4
Lattice="-2.6204 -2.0094 1.5681 0.6964 -1.8194 3.0932 -4.1550 8.3349 7.9982" Properties=species:S:1:pos:R:3 comment="CaLaDy2 PBE-GGA relaxed" density_g_cm3=6.0 energy_ev_per_atom=-3.962 sg="R-3m, No. 166" ef_kj_per_mol_atoms=6.9 polymorph_energy_mev_per_atom=6.2 pbc="T T T"
Ca -3.0395 2.2530 6.3298
La 0.0000 0.0000 0.0000
Dy -4.5890 3.4609 9.5492
Dy -1.4900 1.0451 3.1103